1.
DFT (GGA-PBE) results for crystalline LiLa2W at its relaxed geometry. Values from VASP.

Results
N(E_F): 3.3 states/eV/cell
symmetry: Cm, No. 8
formation energy from the elements: 208 kJ/mol of formula units

The structure in Quantum ESPRESSO input format:
```
&SYSTEM
  ibrav = 0, nat = 4, ntyp = 3
/
ATOMIC_SPECIES
Li 6.94 Li.upf
La 138.91 La.upf
W 183.84 W.upf
CELL_PARAMETERS angstrom
5.9064 0.0135 -0.0073
5.0805 3.0124 -0.0073
1.1803 0.3251 5.5613
ATOMIC_POSITIONS angstrom
Li 6.5568 1.8058 2.9006
La 10.7675 2.9655 0.4273
La 9.2623 2.5509 3.8486
W 2.6512 0.7302 1.1286
```

=====

2.
DFT (GGA-PBE) results for crystalline Na4TlPb5 at its relaxed geometry. Values from VASP.

Results
N(E_F): 5.6 states/eV/cell
symmetry: P4/mmm, No. 123
formation energy from the elements: -81 kJ/mol of formula units

The structure in Quantum ESPRESSO input format:
```
&SYSTEM
  ibrav = 0, nat = 10, ntyp = 3
/
ATOMIC_SPECIES
Pb 207.20 Pb.upf
Na 22.99 Na.upf
Tl 204.38 Tl.upf
CELL_PARAMETERS angstrom
-2.0940 -3.0734 1.0603
3.2506 -2.0020 0.6165
0.2938 6.1018 18.2673
ATOMIC_POSITIONS angstrom
Pb 0.6099 -1.8822 2.8007
Na 0.1182 2.4550 7.3495
Na 0.1756 3.6469 10.9178
Pb 0.7252 0.5132 9.9720
Pb 0.8405 2.9086 17.1433
Tl 0.0000 0.0000 0.0000
Na 0.0613 1.2730 3.8110
Pb 0.7824 1.7012 13.5284
Na 0.2325 4.8288 14.4562
Pb 0.6680 -0.6747 6.4156
```

=====

3.
DFT (GGA-PBE) results for crystalline K3Pa3HgTe8 at its relaxed geometry. Values from VASP.

Results
N(E_F): 18.5 states/eV/cell
energy relative to the elements, uncorrected: -811 meV per atom
symmetry: R-3m, No. 166

The structure in Quantum ESPRESSO input format:
```
&SYSTEM
  ibrav = 0, nat = 15, ntyp = 4
/
ATOMIC_SPECIES
Te 127.60 Te.upf
Hg 200.59 Hg.upf
K 39.10 K.upf
Pa 231.04 Pa.upf
CELL_PARAMETERS angstrom
-1.8646 7.4931 4.7291
-3.1391 -8.0149 2.7938
9.5243 1.7290 1.0132
ATOMIC_POSITIONS angstrom
Te 3.9281 2.9495 5.5425
Hg 4.7621 0.8645 0.5066
Te 3.2637 -4.6458 4.5676
Te -0.2204 2.0785 5.2871
K 0.0000 0.0000 0.0000
Pa 3.8298 4.6111 2.8711
K -2.5018 -0.2609 3.7614
Te 4.7410 -0.8712 3.2490
Te 0.5925 -1.7423 2.9936
K -1.5695 -4.0075 1.3969
Te 2.3854 -1.1189 6.7933
Pa 3.1926 -3.1429 1.9035
Te 2.1351 2.3262 1.7428
Pa 2.2603 0.6036 4.2680
Te 1.2569 5.8530 3.9684
```

=====

4.
DFT (GGA-PBE) results for crystalline HfSN2 at its relaxed geometry. Values from VASP.

Results
N(E_F): 2.4 states/eV/cell
energy relative to the elements, uncorrected: -348 meV per atom
symmetry: R-3m, No. 166

The structure in Quantum ESPRESSO input format:
```
&SYSTEM
  ibrav = 0, nat = 4, ntyp = 3
/
ATOMIC_SPECIES
Hf 178.49 Hf.upf
N 14.01 N.upf
S 32.06 S.upf
CELL_PARAMETERS angstrom
5.4158 0.6653 3.0819
6.2436 0.5350 -0.0551
5.1720 3.3191 1.2269
ATOMIC_POSITIONS angstrom
Hf 8.4157 2.2597 2.1268
N 15.0878 4.0513 3.8130
S 0.0000 0.0000 0.0000
N 1.7436 0.4682 0.4406
```